A plane-wave DFT calculation with PBE was carried out for a geometry-optimized Th6TlGe2Se3 structure.

Cell lengths 9.559, 9.559, 8.550 Å; angles 100.84, 100.84, 26.24 degrees
Atoms (fractional coordinates):
Th 0.004 0.004 0.264
Th 0.328 0.328 0.907
Th 0.332 0.332 0.421
Th 0.668 0.668 0.579
Th 0.672 0.672 0.093
Th 0.996 0.996 0.736
Tl 0.500 0.500 0.000
Ge 0.168 0.168 0.335
Ge 0.832 0.832 0.665
Se 0.163 0.163 0.833
Se 0.500 0.500 0.500
Se 0.837 0.837 0.167

Results
Magnetic moment, μB/cell: 0.0
Fermi-level density of states, states/eV/atom: 0.671
E, eV/cell: -79.1

A plane-wave DFT calculation with PBE was carried out for a geometry-optimized V2AsOs2 structure.

Cell lengths 6.391, 6.391, 6.391 Å; angles 145.24, 145.24, 49.98 degrees
Atoms (fractional coordinates):
V 0.116 0.116 0.000
V 0.884 0.884 0.000
As 0.500 0.500 0.000
Os 0.250 0.750 0.500
Os 0.750 0.250 0.500

Results
Magnetic moment, μB/cell: 0.4
Energy relative to the elements, eV/atom: 0.34
E above lowest polymorph, meV per atom: 270
Fermi-level density of states, states/eV/atom: 0.837

A plane-wave DFT calculation with PBE was carried out for a geometry-optimized SrZn2Se2 structure.

Cell lengths 5.793, 5.793, 5.793 Å; angles 128.71, 128.71, 75.48 degrees
Atoms (fractional coordinates):
Sr 0.000 0.000 0.000
Zn 0.368 0.368 0.000
Zn 0.632 0.632 0.000
Se 0.250 0.750 0.500
Se 0.750 0.250 0.500

Results
Magnetic moment, μB/cell: 0.0
E above lowest polymorph, meV per atom: 0
Fermi-level density of states, states/eV/atom: 0.037

A plane-wave DFT calculation with PBE was carried out for a geometry-optimized BaTlAgI4 structure.

Cell lengths 7.954, 8.268, 9.643 Å; angles 90.00, 107.46, 90.00 degrees
Atoms (fractional coordinates):
Ba 0.232 0.250 0.059
Ba 0.768 0.750 0.941
Tl 0.234 0.250 0.553
Tl 0.766 0.750 0.447
Ag 0.241 0.750 0.812
Ag 0.759 0.250 0.188
I 0.011 0.509 0.241
I 0.011 0.991 0.241
I 0.439 0.750 0.614
I 0.443 0.750 0.110
I 0.557 0.250 0.890
I 0.561 0.250 0.386
I 0.989 0.009 0.759
I 0.989 0.491 0.759

Results
Magnetic moment, μB/cell: 0.0
Fermi-level density of states, states/eV/atom: 0.000
E, eV/cell: -40.7

A plane-wave DFT calculation with PBE was carried out for a geometry-optimized Pb2SeCl structure.

Cell lengths 6.871, 6.871, 6.871 Å; angles 143.47, 143.47, 52.61 degrees
Atoms (fractional coordinates):
Pb 0.000 0.000 0.000
Pb 0.750 0.250 0.500
Se 0.250 0.750 0.500
Cl 0.500 0.500 0.000

Results
Magnetic moment, μB/cell: 0.0
E above lowest polymorph, meV per atom: 181
Fermi-level density of states, states/eV/atom: 0.631

A plane-wave DFT calculation with PBE was carried out for a geometry-optimized LaTb2Er3 structure.

Cell lengths 9.819, 3.475, 12.127 Å; angles 90.00, 107.31, 90.00 degrees
Atoms (fractional coordinates):
La 0.218 0.250 0.372
La 0.782 0.750 0.628
Tb 0.023 0.250 0.878
Tb 0.104 0.250 0.621
Tb 0.896 0.750 0.379
Tb 0.977 0.750 0.122
Er 0.293 0.250 0.120
Er 0.398 0.250 0.873
Er 0.424 0.750 0.622
Er 0.576 0.250 0.378
Er 0.602 0.750 0.127
Er 0.707 0.750 0.880

Results
Magnetic moment, μB/cell: 0.0
Energy relative to the elements, eV/atom: 0.16
E above lowest polymorph, meV per atom: 144
Fermi-level density of states, states/eV/atom: 1.728